{"formula": "Fe2TcHg", "functional": "PBE", "state": "optimized geometry", "formation_energy_mev_per_atom": 595, "magnetic_moment_mub_per_cell": 4.147, "e_tot_ha_per_atom": -0.2317, "vol_a3_per_atom": 14.88, "lattice_angstrom": [[0.000, 3.099, 3.099], [3.099, 0.000, 3.099], [3.099, 3.099, 0.000]], "species": ["Fe", "Fe", "Tc", "Hg"], "frac_coords": [[0.000, 0.000, 0.000], [0.250, 0.250, 0.250], [0.500, 0.500, 0.500], [0.750, 0.750, 0.750]]}

=====

{"formula": "Fe2TcHg", "functional": "PBE", "state": "optimized geometry", "formation_energy_mev_per_atom": 452, "magnetic_moment_mub_per_cell": 5.213, "e_tot_ha_per_atom": -0.2369, "vol_a3_per_atom": 14.67, "lattice_angstrom": [[-1.474, 2.226, 4.471], [1.474, -2.226, 4.471], [1.474, 2.226, -4.471]], "species": ["Fe", "Fe", "Tc", "Hg"], "frac_coords": [[0.000, 0.000, 0.000], [0.783, 0.283, 0.500], [0.243, 0.743, 0.500], [0.522, 0.522, 0.000]]}

=====

{"formula": "FeTcHg4", "functional": "PBE", "state": "optimized geometry", "formation_energy_mev_per_atom": 972, "magnetic_moment_mub_per_cell": 5.457, "e_tot_ha_per_atom": -0.0870, "vol_a3_per_atom": 20.87, "lattice_angstrom": [[0.000, 3.971, 3.971], [3.971, 0.000, 3.971], [3.971, 3.971, 0.000]], "species": ["Fe", "Tc", "Hg", "Hg", "Hg", "Hg"], "frac_coords": [[0.000, 0.000, 0.000], [0.250, 0.250, 0.250], [0.125, 0.625, 0.625], [0.625, 0.125, 0.625], [0.625, 0.625, 0.125], [0.625, 0.625, 0.625]]}

=====

{"formula": "Fe2TcHg", "functional": "PBE", "state": "optimized geometry", "formation_energy_mev_per_atom": 426, "magnetic_moment_mub_per_cell": 5.145, "e_tot_ha_per_atom": -0.2378, "vol_a3_per_atom": 15.02, "lattice_angstrom": [[1.622, -2.159, 0.000], [1.622, 2.159, 0.000], [0.000, 0.000, 8.581]], "species": ["Fe", "Fe", "Tc", "Hg"], "frac_coords": [[0.000, 0.000, 0.000], [0.500, 0.500, 0.213], [0.000, 0.000, 0.440], [0.500, 0.500, 0.730]]}

=====

{"formula": "Fe2TcHg", "functional": "PBE", "state": "optimized geometry", "formation_energy_mev_per_atom": 350, "magnetic_moment_mub_per_cell": 3.673, "e_tot_ha_per_atom": -0.2406, "vol_a3_per_atom": 14.63, "lattice_angstrom": [[2.766, 0.000, 0.000], [0.000, 2.766, 0.000], [0.000, 0.000, 7.651]], "species": ["Fe", "Fe", "Tc", "Hg"], "frac_coords": [[0.000, 0.000, 0.225], [0.000, 0.000, 0.775], [0.500, 0.500, 0.000], [0.500, 0.500, 0.500]]}

=====

{"formula": "FeTc3Hg", "functional": "PBE", "state": "optimized geometry", "formation_energy_mev_per_atom": 1232, "magnetic_moment_mub_per_cell": 1.454, "e_tot_ha_per_atom": -0.2477, "vol_a3_per_atom": 17.56, "lattice_angstrom": [[4.444, 0.000, 0.000], [0.000, 4.444, 0.000], [0.000, 0.000, 4.444]], "species": ["Fe", "Tc", "Tc", "Tc", "Hg"], "frac_coords": [[0.000, 0.000, 0.000], [0.000, 0.000, 0.500], [0.000, 0.500, 0.000], [0.500, 0.000, 0.000], [0.500, 0.500, 0.500]]}